# NaLi2CaPt (PBE, relaxed)
# Total moment, μB/f.u.: 0.000
# E, eV for the cell shown: -14.33
# E_form, meV/atom: -228
data_NaLi2CaPt
_space_group_name_H-M_alt 'P 4/m m m'
_space_group_IT_number 123
_space_group_name_Hall '-P 4 2'
_cell_length_a 5.0583
_cell_length_b 5.0583
_cell_length_c 5.4160
_cell_angle_alpha 90.00
_cell_angle_beta 90.00
_cell_angle_gamma 90.00
loop_
_atom_site_label
_atom_site_type_symbol
_atom_site_fract_x
_atom_site_fract_y
_atom_site_fract_z
Na1 Na 0.0000 0.0000 0.0000
Li1 Li 0.0000 0.5000 0.5000
Ca1 Ca 0.5000 0.5000 0.0000
Pt1 Pt 0.5000 0.5000 0.5000